1.
Crystalline TbAgAs2 at its relaxed geometry, computed with GGA-PBEsol.

abc: 3.945 3.945 10.125
angles: 90.00 90.00 90.00
Positions (direct):
As 0.000 0.500 0.813
As 0.500 0.000 0.187
As 0.000 0.000 0.500
As 0.500 0.500 0.500
Tb 0.000 0.500 0.272
Tb 0.500 0.000 0.728
Ag 0.000 0.000 0.000
Ag 0.500 0.500 0.000

- Formation energy: -805 meV per atom


2.
Crystalline CaCuSb at its relaxed geometry, computed with GGA-PBEsol.

abc: 4.408 4.408 8.019
angles: 90.00 90.00 120.00
Positions (direct):
Sb 0.333 0.667 0.250
Sb 0.667 0.333 0.750
Ca 0.000 0.000 0.000
Ca 0.000 0.000 0.500
Cu 0.333 0.667 0.750
Cu 0.667 0.333 0.250

- E_form (uncorrected): -2.04 eV/f.u.


3.
Crystalline FeSiOs2 at its relaxed geometry, computed with GGA-PBEsol.

abc: 2.804 4.137 4.486
angles: 90.00 90.00 90.00
Positions (direct):
Fe 0.000 0.500 0.500
Os 0.000 0.000 0.000
Os 0.500 0.000 0.500
Si 0.500 0.500 0.000

- E_form (uncorrected): 0.65 eV/f.u.


4.
Crystalline Sr2NiBiF at its relaxed geometry, computed with GGA-PBEsol.

abc: 3.873 5.782 5.782
angles: 90.00 90.00 90.00
Positions (direct):
Sr 0.000 0.000 0.500
Sr 0.000 0.500 0.000
F 0.500 0.000 0.000
Bi 0.500 0.500 0.500
Ni 0.000 0.000 0.000

- E_form (uncorrected): -4.18 eV/f.u.


5.
Crystalline Sm5Pb4 at its relaxed geometry, computed with GGA-PBEsol.

abc: 8.199 8.328 15.675
angles: 90.00 90.00 90.00
Positions (direct):
Sm 0.371 0.841 0.621
Sm 0.871 0.659 0.879
Sm 0.629 0.159 0.121
Sm 0.129 0.341 0.379
Sm 0.629 0.159 0.379
Sm 0.129 0.341 0.121
Sm 0.371 0.841 0.879
Sm 0.871 0.659 0.621
Sm 0.524 0.322 0.599
Sm 0.024 0.178 0.901
Sm 0.476 0.678 0.099
Sm 0.976 0.822 0.401
Sm 0.476 0.678 0.401
Sm 0.976 0.822 0.099
Sm 0.524 0.322 0.901
Sm 0.024 0.178 0.599
Sm 0.202 0.503 0.750
Sm 0.702 0.997 0.750
Sm 0.798 0.497 0.250
Sm 0.298 0.003 0.250
Pb 0.287 0.037 0.458
Pb 0.787 0.463 0.042
Pb 0.713 0.963 0.958
Pb 0.213 0.537 0.542
Pb 0.713 0.963 0.542
Pb 0.213 0.537 0.958
Pb 0.287 0.037 0.042
Pb 0.787 0.463 0.458
Pb 0.566 0.621 0.750
Pb 0.066 0.879 0.750
Pb 0.434 0.379 0.250
Pb 0.934 0.121 0.250
Pb 0.334 0.149 0.750
Pb 0.834 0.351 0.750
Pb 0.666 0.851 0.250
Pb 0.166 0.649 0.250

- Formation energy: -614 meV per atom


6.
Crystalline CaLa2Tc at its relaxed geometry, computed with GGA-PBEsol.

abc: 3.507 3.507 9.808
angles: 90.00 90.00 90.00
Positions (direct):
Ca 0.500 0.500 0.500
Tc 0.500 0.500 0.000
La 0.000 0.000 0.827
La 0.000 0.000 0.173

- Polymorph energy (0 for the lowest one): 2 kJ/mol of formula units
- Formation energy: 119 meV per atom


7.
Crystalline Ag4Cl3 at its relaxed geometry, computed with GGA-PBEsol.

abc: 4.920 5.810 5.810
angles: 120.00 90.00 90.00
Positions (direct):
Ag 0.748 0.000 0.000
Ag 0.252 0.000 0.000
Ag 0.500 0.333 0.667
Ag 0.500 0.667 0.333
Cl 0.000 0.000 0.500
Cl 0.000 0.500 0.000
Cl 0.000 0.500 0.500

- E_form (uncorrected): 2.79 eV/f.u.


8.
Crystalline KTe2OsN at its relaxed geometry, computed with GGA-PBEsol.

abc: 3.672 5.664 5.664
angles: 90.00 90.00 90.00
Positions (direct):
K 0.500 0.500 0.500
Te 0.000 0.000 0.500
Te 0.000 0.500 0.000
Os 0.000 0.000 0.000
N 0.500 0.000 0.000

- E_form (uncorrected): 0.26 eV/f.u.


9.
Crystalline Ce2Ir7 at its relaxed geometry, computed with GGA-PBEsol.

abc: 5.254 5.254 13.406
angles: 78.70 78.70 60.00
Positions (direct):
Ce 0.950 0.950 0.150
Ce 0.050 0.050 0.850
Ce 0.853 0.853 0.441
Ce 0.147 0.147 0.559
Ir 0.500 0.500 0.500
Ir 0.722 0.722 0.834
Ir 0.278 0.278 0.166
Ir 0.611 0.611 0.167
Ir 0.389 0.389 0.833
Ir 0.000 0.500 0.000
Ir 0.500 0.500 0.000
Ir 0.500 0.000 0.000
Ir 0.389 0.892 0.331
Ir 0.892 0.389 0.331
Ir 0.389 0.389 0.331
Ir 0.611 0.108 0.669
Ir 0.108 0.611 0.669
Ir 0.611 0.611 0.669

- Formation energy: -477 meV per atom


10.
Crystalline Na3PbSe at its relaxed geometry, computed with GGA-PBEsol.

abc: 5.755 5.755 5.755
angles: 90.00 90.00 90.00
Positions (direct):
Pb 0.000 0.000 0.000
Na 0.000 0.500 0.000
Na 0.000 0.000 0.500
Na 0.500 0.000 0.000
Se 0.500 0.500 0.500

- E_form (uncorrected): 1.36 eV/f.u.


11.
Crystalline Re2MoCl at its relaxed geometry, computed with GGA-PBEsol.

abc: 2.914 4.486 4.486
angles: 90.00 90.00 90.00
Positions (direct):
Re 0.000 0.000 0.500
Re 0.000 0.500 0.000
Mo 0.500 0.000 0.000
Cl 0.500 0.500 0.500

- Polymorph energy (0 for the lowest one): 187 kJ/mol of formula units
- E_form (uncorrected): 4.08 eV/f.u.


12.
Crystalline ZrZnCu at its relaxed geometry, computed with GGA-PBEsol.

abc: 2.814 4.356 4.356
angles: 120.00 90.00 90.00
Positions (direct):
Zn 0.000 0.667 0.333
Zr 0.500 0.333 0.667
Cu 0.000 0.000 0.000

- Formation energy: -237 meV per atom


13.
Crystalline CaReBr2 at its relaxed geometry, computed with GGA-PBEsol.

abc: 3.840 3.840 9.682
angles: 78.56 78.56 60.00
Positions (direct):
Re 0.000 0.000 0.000
Ca 0.500 0.500 0.500
Br 0.228 0.228 0.315
Br 0.772 0.772 0.685

- Polymorph energy (0 for the lowest one): 193 kJ/mol of formula units
- E_form (uncorrected): 1.72 eV/f.u.


14.
Crystalline CrRe2O6 at its relaxed geometry, computed with GGA-PBEsol.

abc: 4.711 4.711 8.343
angles: 90.00 90.00 90.00
Positions (direct):
Cr 0.500 0.500 0.500
Cr 0.000 0.000 0.000
O 0.225 0.775 0.500
O 0.775 0.225 0.500
O 0.275 0.275 0.000
O 0.725 0.725 0.000
O 0.202 0.798 0.831
O 0.202 0.798 0.169
O 0.798 0.202 0.831
O 0.798 0.202 0.169
O 0.298 0.298 0.669
O 0.298 0.298 0.331
O 0.702 0.702 0.331
O 0.702 0.702 0.669
Re 0.500 0.500 0.848
Re 0.500 0.500 0.152
Re 0.000 0.000 0.348
Re 0.000 0.000 0.652

- E_form (uncorrected): -14.55 eV/f.u.


15.
Crystalline LiVFeP4O14 at its relaxed geometry, computed with GGA-PBEsol.

abc: 4.831 6.932 8.001
angles: 89.90 91.13 107.82
Positions (direct):
Li 0.149 0.679 0.126
V 0.200 0.729 0.498
Fe 0.774 0.269 0.985
P 0.388 0.522 0.812
P 0.226 0.098 0.218
P 0.780 0.914 0.711
P 0.594 0.491 0.313
O 0.054 0.861 0.660
O 0.135 0.897 0.315
O 0.161 0.501 0.945
O 0.255 0.529 0.636
O 0.370 0.609 0.315
O 0.580 0.903 0.558
O 0.614 0.746 0.843
O 0.423 0.259 0.351
O 0.410 0.074 0.071
O 0.556 0.372 0.817
O 0.734 0.502 0.143
O 0.816 0.554 0.456
O 0.867 0.111 0.807
O 0.969 0.167 0.169

- E_form (uncorrected): -44.57 eV/f.u.


16.
Crystalline BaMg at its relaxed geometry, computed with GGA-PBEsol.

abc: 4.166 4.166 9.254
angles: 90.00 90.00 90.00
Positions (direct):
Mg 0.500 0.000 0.575
Mg 0.000 0.500 0.425
Ba 0.500 0.000 0.183
Ba 0.000 0.500 0.817

- Formation energy: 8 meV per atom


17.
Crystalline SrHg2TeMo at its relaxed geometry, computed with GGA-PBEsol.

abc: 5.071 5.583 5.583
angles: 90.00 90.00 90.00
Positions (direct):
Sr 0.500 0.500 0.500
Mo 0.500 0.000 0.000
Te 0.000 0.000 0.000
Hg 0.000 0.000 0.500
Hg 0.000 0.500 0.000

- E_form (uncorrected): 3.53 eV/f.u.


18.
Crystalline MgTe2Pt at its relaxed geometry, computed with GGA-PBEsol.

abc: 4.514 4.774 4.514
angles: 90.00 73.99 90.00
Positions (direct):
Mg 0.474 0.000 0.474
Pt 0.269 0.500 0.269
Te 0.085 0.000 0.085
Te 0.682 0.500 0.682

- E_form (uncorrected): -1.60 eV/f.u.


19.
Crystalline LiSbRh2 at its relaxed geometry, computed with GGA-PBEsol.

abc: 4.275 4.337 4.275
angles: 60.47 90.00 119.53
Positions (direct):
Sb 0.000 0.000 0.000
Rh 0.250 0.500 0.250
Rh 0.750 0.500 0.750
Li 0.500 0.000 0.500

- E_form (uncorrected): -2.33 eV/f.u.


20.
Crystalline Te2MoAu at its relaxed geometry, computed with GGA-PBEsol.

abc: 3.647 3.986 6.386
angles: 90.00 106.59 90.00
Positions (direct):
Au 0.733 0.000 0.466
Mo 0.567 0.500 0.133
Te 0.972 0.000 0.944
Te 0.236 0.500 0.473

- Polymorph energy (0 for the lowest one): 0 kJ/mol of formula units
- E_form (uncorrected): 0.84 eV/f.u.


Size of the total moment / μB per formula unit: 0.000, 0.000, 2.471, 0.000, 0.000, 0.000, 0.484, 0.002, 0.000, 2.626, 0.000, 0.000, 5.006, 2.217, 5.819, 0.000, 2.679, 0.000, 0.000, 0.035